CuBiPt | GGA-PBE | optimized geometry

Lattice parameters (Å, degrees): 4.485 4.485 4.485 60.00 60.00 60.00
Element x y z (fractional)
Cu  0.000  0.000  0.000
Bi  0.500  0.500  0.500
Pt  0.250  0.250  0.250

Calculated values
Polymorph energy (0 for the lowest one) = 0.000 eV/f.u.
Space group = No. 216

CuBi4Pt | GGA-PBE | optimized geometry

Lattice parameters (Å, degrees): 6.881 6.881 8.060 115.27 115.27 90.00
Element x y z (fractional)
Bi  0.793  0.293  0.250
Pt  0.500  0.500  0.000
Bi  0.457  0.957  0.250
Pt  0.000  0.000  0.000
Bi  0.043  0.207  0.750
Bi  0.957  0.793  0.250
Cu  0.750  0.750  0.500
Bi  0.293  0.457  0.250
Cu  0.250  0.250  0.500
Bi  0.707  0.543  0.750
Bi  0.207  0.707  0.750
Bi  0.543  0.043  0.750

Calculated values
Space group = No. 140

Which formation energy from the elements belongs to each record? In order, -0.06 0.01 eV per atom.
Which final energy belongs to each record? In order, -0.1740 -0.1568 hartree per atom.